# 1
# PBE HfTa3C, optimized geometry
# - raw total energy (eV/atom) = -7.708
# - ΔE to the lowest computed polymorph (eV per atom) = 3.430
# - V (Å³/f.u.) = 117.0
# - density (kg/m3) = 10409
data_HfTa3C
_chemical_formula_sum 'Hf1 Ta3 C1'
_symmetry_space_group_name_H-M 'P m -3 m'
_symmetry_Int_Tables_number 221
_symmetry_space_group_name_Hall '-P 4 2 3'
_cell_length_a 4.891
_cell_length_b 4.891
_cell_length_c 4.891
_cell_angle_alpha 90.00
_cell_angle_beta 90.00
_cell_angle_gamma 90.00
loop_
_atom_site_label
_atom_site_type_symbol
_atom_site_fract_x
_atom_site_fract_y
_atom_site_fract_z
_atom_site_occupancy
Hf1 Hf 0.000 0.000 0.000 1
Ta1 Ta 0.000 0.000 0.500 1
C1 C 0.500 0.500 0.500 1

=====

# 2
# PBE HfTa2C3, optimized geometry
# - raw total energy (eV/atom) = -10.956
# - V (Å³/f.u.) = 69.7
# - density (kg/m3) = 13732
data_HfTa2C3
_chemical_formula_sum 'Hf2 Ta4 C6'
_symmetry_space_group_name_H-M 'I m m m'
_symmetry_Int_Tables_number 71
_symmetry_space_group_name_Hall '-I 2 2'
_cell_length_a 3.195
_cell_length_b 4.539
_cell_length_c 9.612
_cell_angle_alpha 90.00
_cell_angle_beta 90.00
_cell_angle_gamma 90.00
loop_
_atom_site_label
_atom_site_type_symbol
_atom_site_fract_x
_atom_site_fract_y
_atom_site_fract_z
_atom_site_occupancy
Hf1 Hf 0.000 0.000 0.000 1
Ta1 Ta 0.000 0.000 0.335 1
C1 C 0.000 0.500 0.000 1
C2 C 0.000 0.500 0.330 1

=====

# 3
# PBE Hf5TaC4, optimized geometry
# - raw total energy (eV/atom) = -10.579
# - V (Å³/f.u.) = 145.6
# - density (kg/m3) = 12788
data_Hf5TaC4
_chemical_formula_sum 'Hf10 Ta2 C8'
_symmetry_space_group_name_H-M 'C 1 2/m 1'
_symmetry_Int_Tables_number 12
_cell_length_a 14.063
_cell_length_b 3.272
_cell_length_c 6.522
_cell_angle_alpha 90.00
_cell_angle_beta 103.93
_cell_angle_gamma 90.00
loop_
_symmetry_equiv_pos_as_xyz
'x,y,z'
'-x,-y,-z'
'-x,y,-z'
'x,-y,z'
'x+1/2,y+1/2,z'
'-x+1/2,-y+1/2,-z'
'-x+1/2,y+1/2,-z'
'x+1/2,-y+1/2,z'
loop_
_atom_site_label
_atom_site_type_symbol
_atom_site_fract_x
_atom_site_fract_y
_atom_site_fract_z
_atom_site_occupancy
Hf1 Hf 0.000 0.000 0.000 1
Hf2 Hf 0.164 0.500 0.822 1
Hf3 Hf 0.165 0.500 0.347 1
Ta1 Ta 0.000 0.000 0.500 1
C1 C 0.002 0.500 0.747 1
C2 C 0.167 0.000 0.588 1

=====

# 4
# PBE HfTa2C2, optimized geometry
# - raw total energy (eV/atom) = -11.099
# - V (Å³/f.u.) = 69.2
# - density (kg/m3) = 13540
data_HfTa2C2
_chemical_formula_sum 'Hf2 Ta4 C4'
_symmetry_space_group_name_H-M 'I m m m'
_symmetry_Int_Tables_number 71
_symmetry_space_group_name_Hall '-I 2 2'
_cell_length_a 3.221
_cell_length_b 4.360
_cell_length_c 9.858
_cell_angle_alpha 90.00
_cell_angle_beta 90.00
_cell_angle_gamma 90.00
loop_
_atom_site_label
_atom_site_type_symbol
_atom_site_fract_x
_atom_site_fract_y
_atom_site_fract_z
_atom_site_occupancy
Hf1 Hf 0.000 0.000 0.000 1
Ta1 Ta 0.000 0.000 0.317 1
C1 C 0.000 0.500 0.333 1

=====

Computed Fermi-level density of states, in the same sequence as the records: 7.81, 3.42, 10.57, 4.07 states/eV/cell.
Computed energy of formation from the pure elements, in the same sequence as the records: 3.239, -0.734, -0.727, -0.678 eV per atom.